No. 1
Compound: AsPdN2F
Source: Alexandria via LeMat-Bulk
Functional: PBE
Structure: relaxed

a b c (Å): 4.0313 4.0313 4.0032
angles (deg): 90.00 90.00 90.00
Closest atoms and distances in Å follow each position.
Atoms (fractional coordinates):
As  0.5000  0.5000  0.5000  8 N 2.84, 4 F 2.85
N  0.0000  0.5000  0.0000  2 Pd 2.02
N  0.5000  0.0000  0.0000  2 Pd 2.02
Pd  0.0000  0.0000  0.0000  2 F 2.00, 4 N 2.02
F  0.0000  0.0000  0.5000  2 Pd 2.00

Properties
Energy relative to the elements, uncorrected (meV per atom): 1119
Energy (eV/atom): -4.554
Relative energy among the computed polymorphs (meV per atom): 299.8
SG: No. 123



No. 2
Compound: AsPt2NF
Source: Alexandria via LeMat-Bulk
Functional: PBE
Structure: relaxed

a b c (Å): 4.7168 4.0117 4.7168
angles (deg): 90.00 90.00 90.00
Closest atoms and distances in Å follow each position.
Atoms (fractional coordinates):
As  0.0000  0.0000  0.0000  2 F 2.01
N  0.5000  0.5000  0.5000  8 Pt 3.10, 4 F 3.34
Pt  0.0000  0.0000  0.5000  2 As 2.36
Pt  0.5000  0.0000  0.0000  2 As 2.36
F  0.0000  0.5000  0.0000  2 As 2.01

Properties
Energy relative to the elements, uncorrected (meV per atom): 1000
Energy (eV/atom): -4.385
SG: No. 123



No. 3
Compound: AsPtN2F
Source: Alexandria via LeMat-Bulk
Functional: PBE
Structure: relaxed

a b c (Å): 3.8999 3.8999 3.7689
angles (deg): 90.00 90.00 90.00
Closest atoms and distances in Å follow each position.
Atoms (fractional coordinates):
As  0.0000  0.0000  0.0000  2 F 1.88, 4 N 1.95
N  0.0000  0.5000  0.0000  2 As 1.95
N  0.5000  0.0000  0.0000  2 As 1.95
Pt  0.5000  0.5000  0.5000  8 N 2.71, 4 F 2.76
F  0.0000  0.0000  0.5000  2 As 1.88

Properties
Energy relative to the elements, uncorrected (meV per atom): 1039
Energy (eV/atom): -4.804
Relative energy among the computed polymorphs (meV per atom): 0.0
SG: No. 123



No. 4
Compound: AsPtN2F
Source: Alexandria via LeMat-Bulk
Functional: PBE
Structure: relaxed

a b c (Å): 3.9647 3.9647 4.1905
angles (deg): 90.00 90.00 90.00
Closest atoms and distances in Å follow each position.
Atoms (fractional coordinates):
As  0.5000  0.5000  0.5000  4 F 2.80, 8 N 2.88
N  0.0000  0.5000  0.0000  2 Pt 1.98
N  0.5000  0.0000  0.0000  2 Pt 1.98
Pt  0.0000  0.0000  0.0000  4 N 1.98, 2 F 2.10
F  0.0000  0.0000  0.5000  2 Pt 2.10

Properties
Energy relative to the elements, uncorrected (meV per atom): 1084
Energy (eV/atom): -4.758
Relative energy among the computed polymorphs (meV per atom): 45.8
SG: No. 123



no.,magnetic moment (μB per cell),D(E_F) (states/eV/atom)
1,0.93,0.6593
2,1.84,0.4558
3,0.00,0.2533
4,0.00,0.7052